! BaZnAg2 (GGA-PBE, optimized geometry); values from VASP
&SYSTEM
  ibrav = 0, nat = 4, ntyp = 3
/
ATOMIC_SPECIES
Zn 65.41 Zn.upf
Ag 107.87 Ag.upf
Ba 137.33 Ba.upf
ATOMIC_POSITIONS angstrom
Zn -2.119 -5.929 -1.537
Ag -2.397 -6.651 1.264
Ba -1.212 -3.364 0.640
Ag -0.590 -1.685 -2.344
CELL_PARAMETERS angstrom
-2.609 0.446 -2.597
2.326 -1.326 -2.565
-2.414 -6.699 1.274
! VASP energy (eV per atom): -2.28
! Energy of formation from the pure elements (eV/atom): -0.056
! Fermi-level density of states (states/eV per cell): 1.46
! Crystal system: tetragonal